Material: FeB2W
Method: DFT, PBE
State: optimized geometry

The structure in POSCAR format:
```
FeB2W
1.0
0.000 2.669 2.669
2.669 0.000 2.669
2.669 2.669 0.000
Fe W B
1 1 2
Direct
0.000 0.000 0.000
0.500 0.500 0.500
0.750 0.750 0.750
0.250 0.250 0.250
```

* E above lowest polymorph: 0.666 eV per atom

***

Material: FeB2W
Method: DFT, PBE
State: optimized geometry

The structure in POSCAR format:
```
FeB2W
1.0
3.336 0.000 0.000
1.668 2.889 0.000
1.668 0.963 3.901
B Fe W
2 1 1
Direct
0.715 0.715 0.856
0.285 0.285 0.144
0.000 0.000 0.000
0.500 0.500 0.500
```

* E above lowest polymorph: 0.205 eV per atom

***

Material: FeBW
Method: DFT, PBE
State: optimized geometry

The structure in POSCAR format:
```
FeBW
1.0
-0.996 2.597 -0.271
-2.429 0.435 -1.311
-3.561 0.535 3.798
B W Fe
1 1 1
Direct
0.116 0.116 0.652
0.339 0.339 0.983
0.531 0.531 0.408
```

***

no.,energy of formation from the pure elements (eV/atom)
1,0.34
2,-0.12
3,0.10